## Li3Co5O10 (PBE with a Hubbard U)

Data for a relaxed structure of Li3Co5O10.

Cell: 19.777 2.823 15.659 Å, 90.00 128.76 90.00°
Space group Cm (No. 8)
Asymmetric unit:
Li 0.000 0.000 0.000 [2 per cell]
Li 0.006 0.500 0.518 [2 per cell]
Li 0.111 0.500 0.218 [2 per cell]
Li 0.269 0.500 0.542 [2 per cell]
Li 0.299 0.000 0.106 [2 per cell]
Li 0.387 0.000 0.773 [2 per cell]
Co 0.049 0.000 0.852 [2 per cell]
Co 0.055 0.000 0.360 [2 per cell]
Co 0.145 0.500 0.051 [2 per cell]
Co 0.155 0.500 0.561 [2 per cell]
Co 0.251 0.000 0.759 [2 per cell]
Co 0.253 0.000 0.250 [2 per cell]
Co 0.349 0.500 0.449 [2 per cell]
Co 0.354 0.500 0.958 [2 per cell]
Co 0.449 0.000 0.651 [2 per cell]
Co 0.455 0.000 0.159 [2 per cell]
O 0.024 0.500 0.915 [2 per cell]
O 0.042 0.000 0.229 [2 per cell]
O 0.063 0.500 0.786 [2 per cell]
O 0.071 0.000 0.494 [2 per cell]
O 0.131 0.000 0.124 [2 per cell]
O 0.138 0.500 0.428 [2 per cell]
O 0.160 0.000 0.984 [2 per cell]
O 0.172 0.500 0.694 [2 per cell]
O 0.238 0.500 0.319 [2 per cell]
O 0.241 0.000 0.626 [2 per cell]
O 0.264 0.500 0.176 [2 per cell]
O 0.273 0.000 0.890 [2 per cell]
O 0.331 0.000 0.516 [2 per cell]
O 0.338 0.500 0.822 [2 per cell]
O 0.370 0.000 0.389 [2 per cell]
O 0.371 0.500 0.092 [2 per cell]
O 0.430 0.500 0.717 [2 per cell]
O 0.441 0.000 0.026 [2 per cell]
O 0.465 0.500 0.581 [2 per cell]
O 0.475 0.000 0.294 [2 per cell]

## Properties
DFT total energy = -5.69 eV per atom
spin magnetization = 7.9 Bohr magnetons per cell
volume = 682 Å³/cell
mass density = 4.6 g/cm3